Record 1
DFT (PBE) results for a geometry-optimized YFeSi3Ir structure.

Cell lengths 5.630, 6.116, 6.930 Å; angles 116.18, 90.00, 90.00 degrees
Atoms (fractional coordinates):
Y 0.750 0.203 0.406
Y 0.250 0.797 0.594
Fe 0.250 0.032 0.063
Fe 0.750 0.968 0.937
Si 0.250 0.201 0.402
Si 0.000 0.288 0.000
Si 0.500 0.712 0.000
Si 0.500 0.288 0.000
Si 0.000 0.712 0.000
Si 0.750 0.799 0.598
Ir 0.250 0.382 0.763
Ir 0.750 0.618 0.237

Calculated values
magnetic moment	0.000	μB/atom
final energy	-7.128	eV/atom
V	17.85	A^3/atom
formation energy without anion corrections	-0.452	eV per atom
DOS(E_F)	7.938	states/eV/cell

***

Record 2
DFT (PBE) results for a geometry-optimized Y2FeSi3Ir4 structure.

Cell lengths 4.106, 4.106, 9.995 Å; angles 90.00, 90.00, 90.00 degrees
Atoms (fractional coordinates):
Y 0.500 0.000 0.253
Y 0.000 0.500 0.747
Fe 0.500 0.500 0.500
Si 0.000 0.000 0.500
Si 0.500 0.000 0.870
Si 0.000 0.500 0.130
Ir 0.500 0.500 0.000
Ir 0.000 0.000 0.000
Ir 0.500 0.000 0.633
Ir 0.000 0.500 0.367

Calculated values
magnetic moment	0.215	μB/atom
final energy	-8.235	eV/atom
V	16.85	A^3/atom
formation energy without anion corrections	-0.924	eV per atom
DOS(E_F)	5.741	states/eV/cell

***

Record 3
DFT (PBE) results for a geometry-optimized SmFeIr structure.

Cell lengths 4.122, 4.122, 7.570 Å; angles 105.82, 105.80, 89.96 degrees
Atoms (fractional coordinates):
Sm 0.171 0.670 0.841
Sm 0.829 0.330 0.159
Fe 0.000 0.000 0.500
Fe 0.500 0.500 0.500
Ir 0.391 0.892 0.283
Ir 0.609 0.108 0.717

Calculated values
magnetic moment	1.049	μB/atom
final energy	-7.635	eV/atom
V	19.78	A^3/atom
DOS(E_F)	5.926	states/eV/cell

***

Record 4
DFT (PBE) results for a geometry-optimized SmFeIr structure.

Cell lengths 5.115, 5.317, 5.317 Å; angles 63.76, 61.25, 61.25 degrees
Atoms (fractional coordinates):
Sm 0.877 0.373 0.373
Sm 0.123 0.627 0.627
Fe 0.000 0.000 0.000
Fe 0.500 0.000 0.000
Ir 0.500 0.500 0.000
Ir 0.500 0.000 0.500

Calculated values
magnetic moment	0.783	μB/atom
final energy	-7.794	eV/atom
V	17.82	A^3/atom
DOS(E_F)	6.140	states/eV/cell

***

What did the second record say?
DFT (PBE) results for a geometry-optimized Y2FeSi3Ir4 structure.

Cell lengths 4.106, 4.106, 9.995 Å; angles 90.00, 90.00, 90.00 degrees
Atoms (fractional coordinates):
Y 0.500 0.000 0.253
Y 0.000 0.500 0.747
Fe 0.500 0.500 0.500
Si 0.000 0.000 0.500
Si 0.500 0.000 0.870
Si 0.000 0.500 0.130
Ir 0.500 0.500 0.000
Ir 0.000 0.000 0.000
Ir 0.500 0.000 0.633
Ir 0.000 0.500 0.367

Calculated values
magnetic moment	0.215	μB/atom
final energy	-8.235	eV/atom
V	16.85	A^3/atom
formation energy without anion corrections	-0.924	eV per atom
DOS(E_F)	5.741	states/eV/cell

***

Question: Which of these has the highest magnetic moment?
Answer: number 3

***

Please write out number 2 again, unchanged.
DFT (PBE) results for a geometry-optimized Y2FeSi3Ir4 structure.

Cell lengths 4.106, 4.106, 9.995 Å; angles 90.00, 90.00, 90.00 degrees
Atoms (fractional coordinates):
Y 0.500 0.000 0.253
Y 0.000 0.500 0.747
Fe 0.500 0.500 0.500
Si 0.000 0.000 0.500
Si 0.500 0.000 0.870
Si 0.000 0.500 0.130
Ir 0.500 0.500 0.000
Ir 0.000 0.000 0.000
Ir 0.500 0.000 0.633
Ir 0.000 0.500 0.367

Calculated values
magnetic moment	0.215	μB/atom
final energy	-8.235	eV/atom
V	16.85	A^3/atom
formation energy without anion corrections	-0.924	eV per atom
DOS(E_F)	5.741	states/eV/cell